Here is an optimized crystal structure of Mn3Se from Alexandria via LeMat-Bulk. Energies are from GGA-PBE.

Geometry as POSCAR:
```
Mn3Se
1.0
4.2495 0.0000 0.0000
0.0000 4.5665 0.0000
0.0000 0.0000 5.1067
Mn Se
6 2
direct
0.0000 0.6927 0.5000
0.0000 0.1666 0.2448
0.0000 0.1666 0.7552
0.5000 0.8334 0.2552
0.5000 0.3073 0.0000
0.5000 0.8334 0.7448
0.5000 0.3374 0.5000
0.0000 0.6626 0.0000
```

* energy above the most stable polymorph in this dataset: 189.0 meV per atom
* energy: -7.457 eV/atom
* density: 8170 kg/m3

Here is an optimized crystal structure of AcPm2Dy9 from Alexandria via LeMat-Bulk. Energies are from GGA-PBE.

Geometry as POSCAR:
```
AcPm2Dy9
1.0
-0.2011 -3.7619 3.4143
1.1730 -3.3590 -3.6319
14.8373 1.9333 3.0042
Dy Ac Pm
9 1 2
direct
0.5000 0.0000 0.5000
0.0000 0.5000 0.5000
0.5000 0.5000 0.0000
0.0000 0.5000 0.8276
0.5000 0.0000 0.1724
0.0000 0.5000 0.1724
0.5000 0.0000 0.8276
0.5000 0.5000 0.3361
0.5000 0.5000 0.6639
0.0000 0.0000 0.0000
0.0000 0.0000 0.6649
0.0000 0.0000 0.3351
```

* E_form: 0.40 eV/f.u.
* energy: -4.552 eV/atom
* density: 8332 kg/m3

Here is an optimized crystal structure of KTaFe2Pb from Alexandria via LeMat-Bulk. Energies are from GGA-PBE.

Geometry as POSCAR:
```
KTaFe2Pb
1.0
-1.6891 -2.9025 2.5882
4.3483 0.3209 3.1977
-1.8701 3.0803 2.2339
K Pb Fe Ta
1 1 2 1
direct
0.0000 0.0000 0.0000
0.0000 0.5000 0.0000
0.5000 0.0000 0.0000
0.0000 0.0000 0.5000
0.5000 0.5000 0.5000
```

* E_form: 12.37 eV/f.u.
* energy: -4.244 eV/atom
* density: 9207 kg/m3

Here is an optimized crystal structure of Ho9Er4Pu from Alexandria via LeMat-Bulk. Energies are from GGA-PBE.

Geometry as POSCAR:
```
Ho9Er4Pu
1.0
10.9568 0.0000 0.0000
0.0000 8.3312 -4.8100
0.0000 0.0000 9.6200
Ho Er Pu
18 8 2
direct
0.0324 0.4190 0.2095
0.4676 0.7905 0.2095
0.5324 0.2095 0.4190
0.0324 0.7905 0.2095
0.9676 0.2095 0.7905
0.9676 0.2095 0.4190
0.2500 0.4629 0.9258
0.2500 0.4629 0.5371
0.2500 0.0742 0.5371
0.7500 0.5371 0.0742
0.9676 0.5810 0.7905
0.4676 0.4190 0.2095
0.5324 0.2095 0.7905
0.7500 0.9258 0.4629
0.4676 0.7905 0.5810
0.7500 0.5371 0.4629
0.0324 0.7905 0.5810
0.5324 0.5810 0.7905
0.2500 0.1122 0.8878
0.7500 0.8878 0.1122
0.2500 0.7756 0.8878
0.7500 0.2244 0.1122
0.7500 0.8878 0.7756
0.2500 0.1122 0.2244
0.0000 0.0000 0.0000
0.5000 0.0000 0.0000
0.2500 0.6667 0.3333
0.7500 0.3333 0.6667
```

* E_form: 2.60 eV/f.u.
* energy: -5.084 eV/atom
* density: 9067 kg/m3

Here is an optimized crystal structure of YCo4Si from Alexandria via LeMat-Bulk. Energies are from GGA-PBE.

Geometry as POSCAR:
```
YCo4Si
1.0
2.5289 -4.3801 0.0000
2.5289 4.3801 0.0000
0.0000 0.0000 3.7220
Si Y Co
1 1 4
direct
0.0000 0.0000 0.0000
0.6667 0.3333 0.0000
0.6664 0.8332 0.5000
0.1668 0.8332 0.5000
0.1668 0.3336 0.5000
0.3333 0.6667 0.0000
```

* energy above the most stable polymorph in this dataset: 0.0 meV per atom
* energy: -7.076 eV/atom
* density: 7103 kg/m3

Here is an optimized crystal structure of CsCaSe2 from Alexandria via LeMat-Bulk. Energies are from GGA-PBE.

Geometry as POSCAR:
```
CsCaSe2
1.0
-3.2086 3.2086 8.9079
3.2086 -3.2086 8.9079
3.2086 3.2086 -8.9079
Se Cs Ca
4 2 2
direct
0.3750 0.6250 0.2500
0.8750 0.6250 0.2500
0.3750 0.1250 0.7500
0.3750 0.6250 0.7500
0.7500 0.2500 0.5000
0.0000 0.0000 0.0000
0.5000 0.5000 0.0000
0.2500 0.7500 0.5000
```

* energy: -3.611 eV/atom
* density: 2996 kg/m3

Here is an optimized crystal structure of Sm4PtAu from Alexandria via LeMat-Bulk. Energies are from GGA-PBE.

Geometry as POSCAR:
```
Sm4PtAu
1.0
-4.3366 -0.1681 -2.3357
-1.5121 -7.5939 3.3540
-7.0813 6.9949 12.6446
Sm Au Pt
16 4 4
direct
0.2500 0.1564 0.5696
0.2500 0.6564 0.9304
0.7500 0.9269 0.2168
0.2500 0.5731 0.7168
0.7500 0.3722 0.8403
0.7500 0.9645 0.9280
0.7500 0.4645 0.5720
0.2500 0.0731 0.7832
0.2500 0.6278 0.1597
0.2500 0.5355 0.4280
0.2500 0.1278 0.3403
0.7500 0.4269 0.2832
0.7500 0.3436 0.0696
0.7500 0.8436 0.4304
0.7500 0.8722 0.6597
0.2500 0.0355 0.0720
0.7500 0.2202 0.4379
0.2500 0.2798 0.9379
0.7500 0.7202 0.0621
0.2500 0.7798 0.5621
0.7500 0.2018 0.6897
0.2500 0.7982 0.3103
0.7500 0.7018 0.8103
0.2500 0.2982 0.1897
```

* E_form: -4.07 eV/f.u.
* energy above the most stable polymorph in this dataset: 0.0 meV per atom
* energy: -5.378 eV/atom
* density: 9860 kg/m3

Here is an optimized crystal structure of Na3Ge4Pd7 from Alexandria via LeMat-Bulk. Energies are from GGA-PBE.

Geometry as POSCAR:
```
Na3Ge4Pd7
1.0
3.9628 0.0000 0.9997
1.4342 7.4611 2.6690
0.0060 0.0833 8.3303
Ge Pd Na
4 7 3
direct
0.3346 0.5584 0.7723
0.6654 0.4416 0.2277
0.1092 0.1112 0.6703
0.8908 0.8888 0.3297
0.0000 0.0000 0.0000
0.5090 0.7646 0.2173
0.4910 0.2354 0.7827
0.6940 0.1483 0.4637
0.1659 0.5953 0.0728
0.3060 0.8517 0.5363
0.8341 0.4047 0.9272
0.6722 0.8252 0.8305
0.3278 0.1748 0.1695
0.0000 0.5000 0.5000
```

* E_form: -6.03 eV/f.u.
* energy: -4.629 eV/atom
* density: 7471 kg/m3

Here is an optimized crystal structure of VNi2Ge from Alexandria via LeMat-Bulk. Energies are from GGA-PBE.

Geometry as POSCAR:
```
VNi2Ge
1.0
-0.8604 1.3985 -3.1912
-0.6971 -3.2897 -1.2537
-8.6861 -0.2060 0.2335
Ge Ni V
2 4 2
direct
0.0000 0.0000 0.0000
0.7500 0.2500 0.5000
0.3750 0.3704 0.7500
0.8750 0.8796 0.7500
0.6296 0.1250 0.2500
0.1204 0.6250 0.2500
0.2500 0.7500 0.5000
0.5000 0.5000 0.0000
```

* E_form: 0.31 eV/f.u.
* energy: -6.248 eV/atom
* density: 7474 kg/m3

Here is an optimized crystal structure of Zn3HgSe from Alexandria via LeMat-Bulk. Energies are from GGA-PBE.

Geometry as POSCAR:
```
Zn3HgSe
1.0
5.0949 0.0000 0.0000
0.0000 5.0949 0.0000
0.0000 0.0000 5.0949
Zn Se Hg
3 1 1
direct
0.0000 0.0000 0.5000
0.0000 0.5000 0.0000
0.5000 0.0000 0.0000
0.0000 0.0000 0.0000
0.5000 0.5000 0.5000
```

* energy above the most stable polymorph in this dataset: 0.0 meV per atom
* energy: -1.180 eV/atom
* density: 5974 kg/m3

Here is an optimized crystal structure of K2Sm2GeS6 from Alexandria via LeMat-Bulk. Energies are from GGA-PBE.

Geometry as POSCAR:
```
K2Sm2GeS6
1.0
6.8422 0.0165 0.0618
-3.3675 5.9562 0.0618
-1.2383 -2.1285 7.4981
Sm K S Ge
2 2 6 1
direct
0.3316 0.6684 0.5000
0.6684 0.3316 0.5000
0.8291 0.1709 0.0000
0.1709 0.8291 0.0000
0.7749 0.7749 0.6850
0.2251 0.2251 0.3150
0.9338 0.6316 0.3071
0.3684 0.0662 0.6929
0.0662 0.3684 0.6929
0.6316 0.9338 0.3071
0.0000 0.0000 0.5000
```

* energy: -5.052 eV/atom
* density: 3474 kg/m3

Here is an optimized crystal structure of GaCo2Ni2 from Alexandria via LeMat-Bulk. Energies are from GGA-PBE.

Geometry as POSCAR:
```
GaCo2Ni2
1.0
6.8577 0.0000 0.0000
0.0000 6.8577 0.0000
0.0000 0.0000 2.5993
Ga Co Ni
2 4 4
direct
0.0000 0.0000 0.0000
0.5000 0.5000 0.0000
0.1224 0.3776 0.0000
0.8776 0.6224 0.0000
0.3776 0.8776 0.0000
0.6224 0.1224 0.0000
0.1722 0.6722 0.5000
0.8278 0.3278 0.5000
0.3278 0.1722 0.5000
0.6722 0.8278 0.5000
```

* E_form: 0.63 eV/f.u.
* energy: -5.635 eV/atom
* density: 8286 kg/m3

Here is an optimized crystal structure of LiTaRh2 from Alexandria via LeMat-Bulk. Energies are from GGA-PBE.

Geometry as POSCAR:
```
LiTaRh2
1.0
2.7663 0.0000 0.0000
0.0000 2.7663 0.0000
0.0000 0.0000 7.8813
Li Rh Ta
1 2 1
direct
0.5000 0.5000 0.7785
0.0000 0.0000 0.9950
0.5000 0.5000 0.2365
0.0000 0.0000 0.4901
```

* E_form: 0.32 eV/f.u.
* energy above the most stable polymorph in this dataset: 634.0 meV per atom
* energy: -7.037 eV/atom
* density: 10839 kg/m3

Here is an optimized crystal structure of CrAg2Ir from Alexandria via LeMat-Bulk. Energies are from GGA-PBE.

Geometry as POSCAR:
```
CrAg2Ir
1.0
4.9067 0.0000 0.0000
0.0000 2.8038 -0.0023
0.0000 0.2023 4.7572
Ir Cr Ag
1 1 2
direct
0.5000 0.7500 0.7500
0.5000 0.2500 0.2500
0.0000 0.4992 0.5002
0.0000 0.0008 0.9998
```

* E_form: 1.70 eV/f.u.
* energy above the most stable polymorph in this dataset: 232.9 meV per atom
* energy: -5.622 eV/atom
* density: 11670 kg/m3

Here is an optimized crystal structure of Pr2GdCo from Alexandria via LeMat-Bulk. Energies are from GGA-PBE.

Geometry as POSCAR:
```
Pr2GdCo
1.0
3.5571 0.0000 0.0000
0.0000 3.5571 0.0000
0.0000 0.0000 8.9849
Pr Co Gd
2 1 1
direct
0.0000 0.0000 0.1858
0.0000 0.0000 0.8142
0.5000 0.5000 0.0000
0.5000 0.5000 0.5000
```

* E_form: 0.39 eV/f.u.
* energy above the most stable polymorph in this dataset: 0.0 meV per atom
* energy: -7.589 eV/atom
* density: 7274 kg/m3

Here is an optimized crystal structure of BaTcHPb2 from Alexandria via LeMat-Bulk. Energies are from GGA-PBE.

Geometry as POSCAR:
```
BaTcHPb2
1.0
-1.4844 3.2714 -3.3732
-4.2284 -2.5267 -0.5897
-2.1069 2.6986 3.5444
Pb H Ba Tc
2 1 1 1
direct
0.0000 0.0000 0.5000
0.5000 0.0000 0.0000
0.0000 0.0000 0.0000
0.0000 0.5000 0.0000
0.5000 0.5000 0.5000
```

* energy: -4.063 eV/atom
* density: 8969 kg/m3

Here is an optimized crystal structure of CeGdHgOs from Alexandria via LeMat-Bulk. Energies are from GGA-PBE.

Geometry as POSCAR:
```
CeGdHgOs
1.0
5.0962 0.0000 0.0000
2.5481 4.4135 0.0000
2.5481 1.4712 4.1611
Os Ce Hg Gd
1 1 1 1
direct
0.2500 0.2500 0.2500
0.0000 0.0000 0.0000
0.7500 0.7500 0.7500
0.5000 0.5000 0.5000
```

* E_form: -0.67 eV/f.u.
* energy: -8.054 eV/atom
* density: 12210 kg/m3

Here is an optimized crystal structure of La5DyHo2Er from Alexandria via LeMat-Bulk. Energies are from GGA-PBE.

Geometry as POSCAR:
```
La5DyHo2Er
1.0
5.5024 0.0000 0.0000
-2.7512 10.8617 0.0000
0.0000 0.0000 10.6146
La Dy Er Ho
10 2 2 4
direct
0.9977 0.9955 0.5081
0.6237 0.2473 0.5081
0.5001 0.0001 0.7581
0.7203 0.4405 0.8185
0.0023 0.0045 0.0081
0.4999 0.9999 0.2581
0.2800 0.5601 0.6985
0.2797 0.5595 0.3185
0.3763 0.7527 0.0081
0.7200 0.4399 0.1985
0.2088 0.4176 0.0084
0.7912 0.5824 0.5084
0.6005 0.2010 0.0082
0.3995 0.7990 0.5082
0.8866 0.7732 0.2554
0.1134 0.2268 0.7554
0.1131 0.2263 0.2608
0.8869 0.7737 0.7608
```

* E_form: 1.15 eV/f.u.
* energy: -4.646 eV/atom
* density: 7089 kg/m3

Here is an optimized crystal structure of Ba3NiH from Alexandria via LeMat-Bulk. Energies are from GGA-PBE.

Geometry as POSCAR:
```
Ba3NiH
1.0
-2.7166 1.8342 -2.6400
-0.6622 -7.8333 -4.7611
-7.4575 -0.6488 7.2230
Ba Ni H
6 2 2
direct
0.2500 0.7942 0.9833
0.7500 0.0605 0.3300
0.7500 0.4285 0.7134
0.2500 0.9395 0.6700
0.7500 0.2058 0.0167
0.2500 0.5715 0.2866
0.7500 0.5459 0.0336
0.2500 0.4541 0.9664
0.7500 0.9231 0.8456
0.2500 0.0769 0.1544
```

* energy above the most stable polymorph in this dataset: 0.0 meV per atom
* energy: -3.040 eV/atom
* density: 4026 kg/m3

Here is an optimized crystal structure of BMo2CCl from Alexandria via LeMat-Bulk. Energies are from GGA-PBE.

Geometry as POSCAR:
```
BMo2CCl
1.0
-2.0204 -2.7506 2.8971
2.3507 -3.4435 -1.6301
2.1407 0.5206 1.9872
B Mo Cl C
1 2 1 1
direct
0.0000 0.0000 0.0000
0.5000 0.0000 0.0000
0.0000 0.5000 0.0000
0.5000 0.5000 0.5000
0.0000 0.0000 0.5000
```

* energy: -6.984 eV/atom
* density: 6986 kg/m3